No. 1
BaTl2WF PBE+U optimized geometry; DOS(E_F) = 3.03 states/eV/cell; symmetry = P4/mmm; total moment = 0.75 μB/atom; DFT total energy = -3.425 eV per atom
1.0
-0.888 -1.382 -5.621
2.636 -5.159 0.852
-3.860 -1.798 1.052
Tl F Ba W
2 1 1 1
Direct
0.000 0.500 0.000
0.500 0.000 0.000
0.000 0.000 0.000
0.500 0.500 0.500
0.000 0.000 0.500

No. 2
BaTl2WF8 PBE+U optimized geometry; DOS(E_F) = 0.00 states/eV/cell; symmetry = P-1; total moment = 0.17 μB/atom; DFT total energy = -5.112 eV per atom
1.0
4.579 -0.212 -0.023
-0.190 6.520 -0.014
-0.034 0.003 8.103
F Tl W Ba
8 2 1 1
Direct
0.372 0.177 0.005
0.893 0.179 0.809
0.088 0.811 0.801
0.504 0.763 0.501
0.628 0.823 0.995
0.496 0.237 0.499
0.912 0.189 0.199
0.107 0.821 0.191
0.495 0.512 0.754
0.505 0.488 0.246
0.000 0.000 0.000
0.000 0.000 0.500